VASP calculation (GGA-PBE) on an optimized crystal structure of Be2VB4.

Computed properties:
- VASP energy (eV/atom) = -6.292

a b c (Å): 2.9327 2.9327 22.8000
angles (deg): 90.00 90.00 120.00
Space group R-3m (No. 166, hexagonal axes)
One atom of each set of equivalent atoms:
Be: 0.0000 0.0000 0.1908 [6 per cell]
V: 0.0000 0.0000 0.0000 [3 per cell]
B: 0.0000 0.0000 0.0958 [6 per cell]
B: 0.0000 0.0000 0.2685 [6 per cell]